# 1
TlTeRhSe after structural relaxation, computed with PBE-GGA.

Cell: 3.9697 3.9697 7.9518 Å, 104.38 104.38 59.96°
Positions (direct):
Tl 0.0000 0.0000 0.0000
Te 0.4608 0.4608 0.3800
Rh 0.8516 0.8516 0.5535
Se 0.2388 0.2388 0.7165

Computed properties:
Its magnetization is 0.00 μB/cell. The value obtained for the density of states at the Fermi level is 0.8 states/eV/f.u. The formation energy from raw total energies is -0.367 eV/atom.

***

# 2
Ce2SI4 after structural relaxation, computed with PBE-GGA.

Cell: 13.3167 13.3167 3.9835 Å, 90.00 90.00 90.00°
Positions (direct):
Ce 0.1087 0.1087 0.0000
Ce 0.3913 0.6087 0.5000
Ce 0.6087 0.3913 0.5000
Ce 0.8913 0.8913 0.0000
S 0.0000 0.0000 0.5000
S 0.5000 0.5000 0.0000
I 0.0646 0.2857 0.5000
I 0.2143 0.5646 0.0000
I 0.2857 0.0646 0.5000
I 0.4354 0.7857 0.0000
I 0.5646 0.2143 0.0000
I 0.7143 0.9354 0.5000
I 0.7857 0.4354 0.0000
I 0.9354 0.7143 0.5000

Computed properties:
Its magnetization is 4.02 μB/cell. The value obtained for the density of states at the Fermi level is 10.9 states/eV/f.u. The formation energy from raw total energies is -1.445 eV/atom.

***

# 3
LaErTlAg after structural relaxation, computed with PBE-GGA.

Cell: 5.3946 5.3946 5.3946 Å, 60.00 60.00 60.00°
Positions (direct):
La 0.0000 0.0000 0.0000
Er 0.5000 0.5000 0.5000
Tl 0.2500 0.2500 0.2500
Ag 0.7500 0.7500 0.7500

Computed properties:
Its magnetization is 0.00 μB/cell. The value obtained for the formation energy is -0.32 eV/atom. The value obtained for the density of states at the Fermi level is 3.5 states/eV/f.u.

***

# 4
Li3GaRu after structural relaxation, computed with PBE-GGA.

Cell: 4.3531 4.3531 4.3531 Å, 90.00 90.00 90.00°
Positions (direct):
Li 0.0000 0.0000 0.5000
Li 0.0000 0.5000 0.0000
Li 0.5000 0.0000 0.0000
Ga 0.0000 0.0000 0.0000
Ru 0.5000 0.5000 0.5000

Computed properties:
Its magnetization is 1.50 μB/cell. The value obtained for the formation energy is 0.83 eV/atom. The value obtained for the density of states at the Fermi level is 3.7 states/eV/f.u.

***

# 5
Rb2NdInO4 after structural relaxation, computed with PBE-GGA.

Cell: 7.3444 7.3444 7.3444 Å, 121.23 119.11 89.71°
Positions (direct):
Rb 0.0000 0.0000 0.0000
Rb 0.5000 0.0000 0.0000
Rb 0.5000 0.0000 0.5000
Rb 0.5000 0.5000 0.5000
Nd 0.0000 0.5000 0.5000
Nd 0.5000 0.5000 0.0000
In 0.0000 0.0000 0.5000
In 0.0000 0.5000 0.0000
O 0.1829 0.7342 0.4487
O 0.2144 0.2658 0.9487
O 0.2263 0.2650 0.5387
O 0.2263 0.6876 0.9613
O 0.7737 0.3124 0.0387
O 0.7737 0.7350 0.4613
O 0.7856 0.7342 0.0513
O 0.8171 0.2658 0.5513

Computed properties:
Its magnetization is 0.00 μB/cell. The value obtained for the density of states at the Fermi level is 0.0 states/eV/f.u. The formation energy from raw total energies is -1.898 eV/atom.

***

# 6
Er2TmThSc4 after structural relaxation, computed with PBE-GGA.

Cell: 4.9028 4.9028 9.1820 Å, 90.00 90.00 90.00°
Positions (direct):
Er 0.0000 0.0000 0.0000
Er 0.5000 0.5000 0.5000
Tm 0.0000 0.0000 0.5000
Th 0.5000 0.5000 0.0000
Sc 0.0000 0.5000 0.2483
Sc 0.0000 0.5000 0.7517
Sc 0.5000 0.0000 0.2483
Sc 0.5000 0.0000 0.7517

Computed properties:
Its magnetization is 0.03 μB/cell. The value obtained for the formation energy is 0.04 eV/atom. The value obtained for the density of states at the Fermi level is 12.9 states/eV/f.u.

***

# 7
Fe2CoNi8 after structural relaxation, computed with PBE-GGA.

Cell: 6.6054 6.6054 5.6075 Å, 104.93 104.93 30.97°
Positions (direct):
Fe 0.1360 0.1360 0.1812
Fe 0.8640 0.8640 0.8188
Co 0.5000 0.5000 0.0000
Ni 0.0455 0.0455 0.7299
Ni 0.2278 0.2278 0.6353
Ni 0.3190 0.3190 0.0937
Ni 0.4104 0.4104 0.5480
Ni 0.5896 0.5896 0.4520
Ni 0.6810 0.6810 0.9063
Ni 0.7722 0.7722 0.3647
Ni 0.9545 0.9545 0.2701

Computed properties:
Its magnetization is 11.93 μB/cell. The value obtained for the formation energy is -0.05 eV/atom. The value obtained for the density of states at the Fermi level is 11.3 states/eV/f.u.

***

# 8
Nb2TcPtW after structural relaxation, computed with PBE-GGA.

Cell: 4.8230 4.8230 4.8009 Å, 90.00 90.00 90.00°
Positions (direct):
Nb 0.0000 0.5000 0.0000
Nb 0.5000 0.0000 0.0000
Tc 0.0000 0.0000 0.5000
Pt 0.5000 0.5000 0.5000
W 0.5000 0.5000 0.0000

Computed properties:
Its magnetization is 2.20 μB/cell. The value obtained for the formation energy is 1.63 eV/atom. The value obtained for the density of states at the Fermi level is 6.3 states/eV/f.u.

***

# 9
Dy7Y4Pu after structural relaxation, computed with PBE-GGA.

Cell: 9.4610 9.4610 8.0070 Å, 105.47 105.47 32.60°
Positions (direct):
Dy 0.0000 0.0000 0.0000
Dy 0.1761 0.1761 0.9083
Dy 0.3535 0.3535 0.8094
Dy 0.4520 0.4520 0.2824
Dy 0.5480 0.5480 0.7176
Dy 0.6465 0.6465 0.1906
Dy 0.8239 0.8239 0.0917
Y 0.0895 0.0895 0.4406
Y 0.2725 0.2725 0.3631
Y 0.7275 0.7275 0.6369
Y 0.9105 0.9105 0.5594
Pu 0.5000 0.5000 0.0000

Computed properties:
Its magnetization is 0.00 μB/cell. The value obtained for the formation energy is 0.35 eV/atom. The value obtained for the density of states at the Fermi level is 27.4 states/eV/f.u.

***

# 10
RbLi2HgO after structural relaxation, computed with PBE-GGA.

Cell: 5.6159 5.6159 4.6534 Å, 90.00 90.00 90.00°
Positions (direct):
Rb 0.0000 0.0000 0.0000
Li 0.0000 0.5000 0.0000
Li 0.5000 0.0000 0.0000
Hg 0.5000 0.5000 0.5000
O 0.0000 0.0000 0.5000

Computed properties:
Its magnetization is 0.00 μB/cell. The value obtained for the density of states at the Fermi level is 3.0 states/eV/f.u. The formation energy from raw total energies is 0.278 eV/atom.

***

# 11
NaLi2Y after structural relaxation, computed with PBE-GGA.

Cell: 11.2240 11.2240 11.2240 Å, 17.53 17.53 17.53°
Positions (direct):
Na 0.0000 0.0000 0.0000
Li 0.4180 0.4180 0.4180
Li 0.5818 0.5818 0.5818
Y 0.8331 0.8331 0.8331

Computed properties:
Its magnetization is 0.01 μB/cell. The value obtained for the formation energy is 0.12 eV/atom. The value obtained for the density of states at the Fermi level is 3.6 states/eV/f.u.

***

# 12
Hf3CoNi after structural relaxation, computed with PBE-GGA.

Cell: 4.7065 4.7065 4.7065 Å, 90.00 90.00 90.00°
Positions (direct):
Hf 0.0000 0.0000 0.5000
Hf 0.0000 0.5000 0.0000
Hf 0.5000 0.0000 0.0000
Co 0.0000 0.0000 0.0000
Ni 0.5000 0.5000 0.5000

Computed properties:
Its magnetization is 0.00 μB/cell. The value obtained for the formation energy is 0.40 eV/atom. The value obtained for the density of states at the Fermi level is 8.2 states/eV/f.u.

***

# 13
La3Nd2In after structural relaxation, computed with PBE-GGA.

Cell: 5.7744 10.7515 6.5856 Å, 90.00 90.00 90.00°
Positions (direct):
La 0.0000 0.0499 0.0000
La 0.0000 0.2640 0.3851
La 0.0000 0.7360 0.8851
La 0.0000 0.9501 0.5000
La 0.5000 0.4256 0.2292
La 0.5000 0.5744 0.7292
Nd 0.0000 0.4029 0.9081
Nd 0.0000 0.5971 0.4081
Nd 0.5000 0.2114 0.7560
Nd 0.5000 0.7886 0.2560
In 0.5000 0.1006 0.2767
In 0.5000 0.8994 0.7767

Computed properties:
Its magnetization is 0.00 μB/cell. The value obtained for the formation energy is -0.14 eV/atom. The value obtained for the density of states at the Fermi level is 8.0 states/eV/f.u.

***

# 14
CdAuI2O after structural relaxation, computed with PBE-GGA.

Cell: 5.9691 5.9691 4.0829 Å, 90.00 90.00 90.00°
Positions (direct):
Cd 0.0000 0.0000 0.0000
Au 0.5000 0.5000 0.5000
I 0.0000 0.5000 0.0000
I 0.5000 0.0000 0.0000
O 0.0000 0.0000 0.5000

Computed properties:
Its magnetization is 0.93 μB/cell. The value obtained for the density of states at the Fermi level is 7.9 states/eV/f.u. The formation energy from raw total energies is 0.284 eV/atom.

***

# 15
Ce2VPt after structural relaxation, computed with PBE-GGA.

Cell: 10.4960 10.4960 10.4960 Å, 16.12 16.12 16.12°
Positions (direct):
Ce 0.0834 0.0834 0.0834
Ce 0.9166 0.9166 0.9166
V 0.0000 0.0000 0.0000
Pt 0.5000 0.5000 0.5000

Computed properties:
Its magnetization is 0.55 μB/cell. The value obtained for the formation energy is 0.09 eV/atom. The value obtained for the density of states at the Fermi level is 7.3 states/eV/f.u.